{"formula": "Ca5HoBi4", "functional": "PBE", "state": "optimized geometry", "m_tot_mub_per_cell": 0.00, "crystal_system": "monoclinic", "energy_ev_per_cell": -37.2, "lattice": [[8.685, -2.568, 0.000], [8.685, 2.568, 0.000], [-0.475, 0.000, 7.890]], "species": ["Ca", "Ca", "Ca", "Ca", "Ca", "Ho", "Bi", "Bi", "Bi", "Bi"], "fractional_positions": [[0.000, 0.000, 0.000], [0.331, 0.331, 0.497], [0.339, 0.339, 0.012], [0.661, 0.661, 0.988], [0.669, 0.669, 0.503], [0.000, 0.000, 0.500], [0.181, 0.181, 0.746], [0.477, 0.477, 0.747], [0.523, 0.523, 0.253], [0.819, 0.819, 0.254]]}

{"formula": "Ba3CaBi2O9", "functional": "PBE", "state": "optimized geometry", "m_tot_mub_per_cell": 0.00, "crystal_system": "orthorhombic", "polymorph_energy_ev_per_atom": 0.000, "formation_energy_uncorrected_ev_per_atom": -2.000, "lattice": [[-3.084, 4.348, 9.267], [3.084, -4.348, 9.267], [3.084, 4.348, -9.267]], "species": ["Ba", "Ba", "Ba", "Ba", "Ba", "Ba", "Ca", "Ca", "Bi", "Bi", "Bi", "Bi", "O", "O", "O", "O", "O", "O", "O", "O", "O", "O", "O", "O", "O", "O", "O", "O", "O", "O"], "fractional_positions": [[0.080, 0.332, 0.748], [0.242, 0.000, 0.242], [0.416, 0.668, 0.748], [0.584, 0.332, 0.252], [0.758, 0.000, 0.758], [0.920, 0.668, 0.252], [0.167, 0.167, 0.000], [0.833, 0.833, 0.000], [0.000, 0.500, 0.500], [0.332, 0.832, 0.500], [0.500, 0.500, 0.000], [0.668, 0.168, 0.500], [0.080, 0.341, 0.261], [0.080, 0.819, 0.739], [0.103, 0.841, 0.262], [0.255, 0.001, 0.746], [0.255, 0.500, 0.755], [0.255, 0.509, 0.254], [0.419, 0.173, 0.755], [0.419, 0.664, 0.245], [0.421, 0.159, 0.262], [0.579, 0.841, 0.738], [0.581, 0.336, 0.755], [0.581, 0.827, 0.245], [0.745, 0.491, 0.746], [0.745, 0.500, 0.245], [0.745, 0.999, 0.254], [0.897, 0.159, 0.738], [0.920, 0.181, 0.261], [0.920, 0.659, 0.739]]}

{"formula": "PmEr4Pt4", "functional": "PBE", "state": "optimized geometry", "m_tot_mub_per_cell": 0.00, "crystal_system": "tetragonal", "energy_ev_per_cell": -113.5, "lattice": [[9.064, 0.000, 0.000], [0.000, 9.064, 0.000], [0.000, 0.000, 5.683]], "species": ["Pm", "Pm", "Er", "Er", "Er", "Er", "Er", "Er", "Er", "Er", "Pt", "Pt", "Pt", "Pt", "Pt", "Pt", "Pt", "Pt"], "fractional_positions": [[0.250, 0.250, 0.250], [0.750, 0.750, 0.750], [0.083, 0.650, 0.167], [0.150, 0.917, 0.667], [0.350, 0.583, 0.667], [0.417, 0.850, 0.167], [0.583, 0.150, 0.833], [0.650, 0.417, 0.333], [0.850, 0.083, 0.333], [0.917, 0.350, 0.833], [0.041, 0.622, 0.668], [0.122, 0.959, 0.168], [0.378, 0.541, 0.168], [0.459, 0.878, 0.668], [0.541, 0.122, 0.332], [0.622, 0.459, 0.832], [0.878, 0.041, 0.832], [0.959, 0.378, 0.332]]}

{"formula": "SrCoP2", "functional": "PBE", "state": "optimized geometry", "m_tot_mub_per_cell": 0.00, "crystal_system": "orthorhombic", "polymorph_energy_ev_per_atom": 0.129, "lattice": [[-1.911, 3.059, 3.472], [1.911, -3.059, 3.472], [1.911, 3.059, -3.472]], "species": ["Sr", "Co", "P", "P"], "fractional_positions": [[0.000, 0.000, 0.000], [0.500, 0.500, 0.000], [0.340, 0.840, 0.500], [0.660, 0.160, 0.500]]}

{"formula": "RbBe3Nb", "functional": "PBE", "state": "optimized geometry", "m_tot_mub_per_cell": 0.00, "crystal_system": "cubic", "polymorph_energy_ev_per_atom": 1.148, "lattice": [[4.455, 0.000, 0.000], [0.000, 4.455, 0.000], [0.000, 0.000, 4.455]], "species": ["Rb", "Be", "Be", "Be", "Nb"], "fractional_positions": [[0.000, 0.000, 0.000], [0.000, 0.000, 0.500], [0.000, 0.500, 0.000], [0.500, 0.000, 0.000], [0.500, 0.500, 0.500]]}

{"formula": "NaPmGe2", "functional": "PBE", "state": "optimized geometry", "m_tot_mub_per_cell": 0.00, "crystal_system": "cubic", "polymorph_energy_ev_per_atom": 0.151, "lattice": [[0.000, 3.600, 3.600], [3.600, 0.000, 3.600], [3.600, 3.600, 0.000]], "species": ["Na", "Pm", "Ge", "Ge"], "fractional_positions": [[0.000, 0.000, 0.000], [0.500, 0.500, 0.500], [0.250, 0.250, 0.250], [0.750, 0.750, 0.750]]}